{
  "formula": "CrCo2Cl",
  "functional": "PBE-GGA",
  "state": "optimized geometry",
  "dft_energy_ha_per_atom": -0.223,
  "polymorph_energy_ev_per_fu": 0.31,
  "magnetic_moment_mub_per_atom": 0.458,
  "raw_formation_energy_ev_per_atom": 0.36,
  "lattice": [[3.577, -1.377, 0.000], [3.577, 1.377, 0.000], [-0.175, 0.000, 6.349]],
  "species": ["Cr", "Co", "Co", "Cl"],
  "fractional_positions": [[0.000, 0.000, 0.000], [0.465, 0.465, 0.355], [0.738, 0.738, 0.175], [0.464, 0.464, 0.713]]
}

---

{
  "formula": "CrCoCl",
  "functional": "PBE-GGA",
  "state": "optimized geometry",
  "dft_energy_ha_per_atom": -0.212,
  "polymorph_energy_ev_per_fu": 0.21,
  "magnetic_moment_mub_per_atom": 0.180,
  "raw_formation_energy_ev_per_atom": 0.42,
  "lattice": [[-1.377, 1.377, 5.668], [1.377, -1.377, 5.668], [1.377, 1.377, -5.668]],
  "species": ["Cr", "Co", "Cl"],
  "fractional_positions": [[0.000, 0.000, 0.000], [0.627, 0.627, 0.000], [0.363, 0.363, 0.000]]
}

---

{
  "formula": "Cr2CoCl",
  "functional": "PBE-GGA",
  "state": "optimized geometry",
  "dft_energy_ha_per_atom": -0.244,
  "polymorph_energy_ev_per_fu": 0.62,
  "magnetic_moment_mub_per_atom": 0.091,
  "raw_formation_energy_ev_per_atom": 0.40,
  "lattice": [[1.363, 0.787, 8.045], [-1.363, 0.787, 8.045], [0.000, -1.574, 8.045]],
  "species": ["Cr", "Cr", "Co", "Cl"],
  "fractional_positions": [[0.000, 0.000, 0.000], [0.247, 0.247, 0.247], [0.740, 0.740, 0.740], [0.510, 0.510, 0.510]]
}